## Sn2GeAu8 (PBE)

Data for crystalline Sn2GeAu8 at its relaxed geometry.

Unit cell a=8.841 b=8.841 c=5.095 alpha=99.45 beta=99.45 gamma=35.72
Sites, in units of the cell vectors:
Sn 0.196 0.196 0.196
Sn 0.804 0.804 0.804
Ge 0.500 0.500 0.500
Au 0.030 0.030 0.262
Au 0.099 0.601 0.317
Au 0.399 0.901 0.683
Au 0.413 0.413 0.887
Au 0.587 0.587 0.113
Au 0.601 0.099 0.317
Au 0.901 0.399 0.683
Au 0.970 0.970 0.738

Summary:
DFT formation energy in eV/atom: 0.02
Symmetry: No. 12

---

## InFeIr2 (PBE)

Data for crystalline InFeIr2 at its relaxed geometry.

Unit cell a=2.837 b=2.837 c=7.585 alpha=90.00 beta=90.00 gamma=90.00
Sites, in units of the cell vectors:
In 0.000 0.000 0.000
Fe 0.500 0.500 0.736
Ir 0.000 0.000 0.520
Ir 0.500 0.500 0.274

Summary:
DFT formation energy in eV/atom: 0.14
Symmetry: No. 99

---

## ScCoTcNi (PBE)

Data for crystalline ScCoTcNi at its relaxed geometry.

Unit cell a=4.313 b=4.313 c=4.313 alpha=60.00 beta=60.00 gamma=60.00
Sites, in units of the cell vectors:
Sc 0.000 0.000 0.000
Co 0.750 0.750 0.750
Tc 0.500 0.500 0.500
Ni 0.250 0.250 0.250

Summary:
DFT formation energy in eV/atom: -0.05
Symmetry: No. 216

---

## Cd6As2PBr3 (PBE)

Data for crystalline Cd6As2PBr3 at its relaxed geometry.

Unit cell a=7.179 b=7.179 c=7.220 alpha=99.64 beta=99.64 gamma=119.94
Sites, in units of the cell vectors:
Cd 0.066 0.390 0.197
Cd 0.256 0.256 0.800
Cd 0.390 0.066 0.197
Cd 0.610 0.934 0.803
Cd 0.744 0.744 0.200
Cd 0.934 0.610 0.803
As 0.334 0.666 0.000
As 0.666 0.334 0.000
P 0.000 0.000 0.000
Br 0.163 0.837 0.500
Br 0.500 0.500 0.500
Br 0.837 0.163 0.500

Summary:
E_form (uncorrected) in eV/atom: -0.27
Symmetry: No. 12

---

## KErCdO3 (PBE)

Data for crystalline KErCdO3 at its relaxed geometry.

Unit cell a=7.403 b=3.427 c=9.621 alpha=90.00 beta=93.99 gamma=90.00
Sites, in units of the cell vectors:
K 0.143 0.250 0.218
K 0.857 0.750 0.782
Er 0.387 0.750 0.875
Er 0.613 0.250 0.125
Cd 0.158 0.250 0.574
Cd 0.842 0.750 0.426
O 0.165 0.750 0.433
O 0.215 0.250 0.804
O 0.404 0.750 0.096
O 0.596 0.250 0.904
O 0.785 0.750 0.196
O 0.835 0.250 0.567

Summary:
E_form (uncorrected) in eV/atom: -2.05
Symmetry: No. 11

---

## PaRu2Pb (PBE)

Data for crystalline PaRu2Pb at its relaxed geometry.

Unit cell a=4.791 b=4.791 c=4.791 alpha=60.00 beta=60.00 gamma=60.00
Sites, in units of the cell vectors:
Pa 0.000 0.000 0.000
Ru 0.250 0.250 0.250
Ru 0.750 0.750 0.750
Pb 0.500 0.500 0.500

Summary:
Relative energy among the computed polymorphs in eV/atom: 0.051
DFT formation energy in eV/atom: -0.12
Symmetry: No. 225

---

## Hf2CuGe2 (PBE)

Data for crystalline Hf2CuGe2 at its relaxed geometry.

Unit cell a=7.059 b=7.059 c=3.835 alpha=90.00 beta=90.00 gamma=90.00
Sites, in units of the cell vectors:
Hf 0.175 0.325 0.000
Hf 0.325 0.825 0.000
Hf 0.675 0.175 0.000
Hf 0.825 0.675 0.000
Cu 0.000 0.000 0.000
Cu 0.500 0.500 0.000
Ge 0.129 0.629 0.500
Ge 0.371 0.129 0.500
Ge 0.629 0.871 0.500
Ge 0.871 0.371 0.500

Summary:
DFT formation energy in eV/atom: -0.15
Symmetry: No. 127

---

## Y2Al3Cu (PBE)

Data for crystalline Y2Al3Cu at its relaxed geometry.

Unit cell a=5.665 b=5.665 c=7.187 alpha=128.55 beta=128.55 gamma=46.44
Sites, in units of the cell vectors:
Y 0.000 0.000 0.000
Y 0.081 0.081 0.580
Al 0.375 0.375 0.181
Al 0.688 0.688 0.975
Al 0.710 0.710 0.405
Cu 0.369 0.369 0.561

Summary:
DFT formation energy in eV/atom: -0.47
Symmetry: No. 8

---

## MgScW (PBE)

Data for crystalline MgScW at its relaxed geometry.

Unit cell a=7.441 b=7.441 c=7.441 alpha=158.00 beta=158.00 gamma=31.31
Sites, in units of the cell vectors:
Mg 0.000 0.000 0.000
Sc 0.686 0.686 0.000
W 0.342 0.342 0.000

Summary:
Relative energy among the computed polymorphs in eV/atom: 0.001
DFT formation energy in eV/atom: 0.26
Symmetry: No. 107

---

## LuCdGa (PBE)

Data for crystalline LuCdGa at its relaxed geometry.

Unit cell a=4.649 b=4.649 c=4.649 alpha=60.00 beta=60.00 gamma=60.00
Sites, in units of the cell vectors:
Lu 0.000 0.000 0.000
Cd 0.500 0.500 0.500
Ga 0.750 0.750 0.750

Summary:
DFT formation energy in eV/atom: -0.34
Symmetry: No. 216

---

## Ba2BePt (PBE)

Data for crystalline Ba2BePt at its relaxed geometry.

Unit cell a=8.508 b=8.508 c=8.508 alpha=151.41 beta=149.35 gamma=42.41
Sites, in units of the cell vectors:
Ba 0.000 0.000 0.000
Ba 0.760 0.260 0.500
Be 0.353 0.853 0.500
Pt 0.402 0.402 0.000

Summary:
DFT formation energy in eV/atom: -0.33
Symmetry: No. 44

---

## Pm2Zn2Ga3 (PBE)

Data for crystalline Pm2Zn2Ga3 at its relaxed geometry.

Unit cell a=9.699 b=9.699 c=7.004 alpha=90.00 beta=90.00 gamma=153.78
Sites, in units of the cell vectors:
Pm 0.050 0.950 0.750
Pm 0.159 0.841 0.250
Pm 0.841 0.159 0.750
Pm 0.950 0.050 0.250
Zn 0.316 0.684 0.064
Zn 0.316 0.684 0.436
Zn 0.684 0.316 0.564
Zn 0.684 0.316 0.936
Ga 0.223 0.777 0.750
Ga 0.440 0.560 0.572
Ga 0.440 0.560 0.928
Ga 0.560 0.440 0.072
Ga 0.560 0.440 0.428
Ga 0.777 0.223 0.250

Summary:
Relative energy among the computed polymorphs in eV/atom: 0.000
DFT formation energy in eV/atom: -0.56
Symmetry: No. 63